Ta4HgP: relaxed, GGA-PBE.

The calculation puts the volume at 116.71 Å³/cell. The calculation puts the formation energy at 4.12 eV/f.u.

Unit cell a=5.485 b=5.485 c=5.485 alpha=60.00 beta=60.00 gamma=60.00
Atoms (fractional coordinates):
Ta  0.873  0.376  0.376
Ta  0.376  0.376  0.873
Ta  0.376  0.873  0.376
Ta  0.376  0.376  0.376
Hg  0.750  0.750  0.750
P  0.000  0.000  0.000



Mo2P: relaxed, GGA-PBE.

The calculation puts the volume at 91.40 Å³/cell. The calculation puts the formation energy at -0.54 eV/f.u. The energy above the lowest structure with this stoichiometry comes out at 203.2 meV/atom.

Unit cell a=4.612 b=4.612 c=4.534 alpha=90.00 beta=90.00 gamma=108.62
Atoms (fractional coordinates):
Mo  0.837  0.496  0.250
Mo  0.163  0.504  0.750
Mo  0.496  0.837  0.250
Mo  0.504  0.163  0.750
P  0.235  0.235  0.250
P  0.765  0.765  0.750



Asked for total energy across the records above, the calculation gives -49.0; -55.2 eV for the cell shown in order.